# 1
A plane-wave DFT calculation with meta-GGA SCAN was carried out for a crystal of CuSiNi relaxed with PBEsol.

abc: 2.6161 2.6161 5.7553
angles: 90.00 90.00 120.00
With the nearest neighbours (Å) after each atom.
Space group P3m1 (No. 156)
Asymmetric unit:
Cu (0.0000, 0.0000, 0.0000) (multiplicity 1)  3 Si 2.48, 3 Ni 2.53, 6 Cu 2.62
Si (0.6667, 0.3333, 0.3418) (multiplicity 1)  3 Ni 2.32, 3 Cu 2.48
Ni (0.3333, 0.6667, 0.6472) (multiplicity 1)  3 Si 2.32, 3 Cu 2.53

Results
**Uncorrected formation energy**: -0.0753 eV/atom

# 2
A plane-wave DFT calculation with meta-GGA SCAN was carried out for a crystal of PrDyZn2 relaxed with PBEsol.

abc: 7.1375 7.1375 7.1375
angles: 90.00 90.00 90.00
With the nearest neighbours (Å) after each atom.
Space group Fm-3m (No. 225)
Asymmetric unit:
Pr (0.0000, 0.0000, 0.0000) (multiplicity 4)  8 Zn 3.09
Dy (0.0000, 0.0000, 0.5000) (multiplicity 4)  8 Zn 3.09
Zn (0.2500, 0.2500, 0.2500) (multiplicity 8)  4 Pr 3.09, 4 Dy 3.09

Results
**VASP energy**: -29.911 eV/atom

| no. | total moment (Bohr magnetons per cell) |
| --- | --- |
| 1 | 0.00 |
| 2 | 0.00 |